Record 1
! In2CuBi2 | the Alexandria database | PBE-GGA | relaxed; values from VASP
! Formation enthalpy at 0 K ... 214 meV/atom
! E above lowest polymorph ... 19 kJ/mol of formula units
&SYSTEM
  ibrav = 0, nat = 10, ntyp = 3
/
ATOMIC_SPECIES
In 114.82 In.upf
Bi 208.98 Bi.upf
Cu 63.55 Cu.upf
ATOMIC_POSITIONS angstrom
In 2.367 5.803 0.000
Bi 2.241 1.194 2.872
Bi 1.194 4.629 2.872
In 1.068 2.367 0.000
Bi 4.629 5.677 2.872
In 5.803 4.503 0.000
In 4.503 1.068 0.000
Cu 3.435 3.435 0.000
Bi 5.677 2.241 2.872
Cu 0.000 0.000 0.000
CELL_PARAMETERS angstrom
6.871 0.000 0.000
0.000 6.871 0.000
0.000 0.000 5.743

Record 2
! Er12TmIn3 | the Alexandria database | PBE-GGA | relaxed; values from VASP
! Formation enthalpy at 0 K ... -188 meV/atom
&SYSTEM
  ibrav = 0, nat = 16, ntyp = 3
/
ATOMIC_SPECIES
Er 167.26 Er.upf
Tm 168.93 Tm.upf
In 114.82 In.upf
ATOMIC_POSITIONS angstrom
Er -0.363 -3.382 -0.214
Tm 0.000 0.000 0.000
Er 2.968 -4.633 13.917
Er 2.058 -3.000 16.794
Er 0.774 -3.809 4.610
Er 5.357 -3.302 15.989
Er 1.871 -4.221 9.263
In 3.325 -1.248 14.107
In 1.143 -0.429 4.847
Er 3.153 -2.475 6.639
Er 2.047 -2.060 1.947
Er 4.251 -2.887 11.298
Er 0.952 -2.584 12.102
Er -0.146 -2.172 7.443
Er -1.252 -1.757 2.751
In 2.234 -0.838 9.477
CELL_PARAMETERS angstrom
-3.661 -3.080 0.591
2.936 -3.685 -1.018
4.468 -1.677 18.954

Record 3
! Li3PSe6 | the Alexandria database | PBE-GGA | relaxed; values from VASP
! DFT total energy ... -0.2689 Ry/atom
&SYSTEM
  ibrav = 0, nat = 20, ntyp = 3
/
ATOMIC_SPECIES
Se 78.96 Se.upf
Li 6.94 Li.upf
P 30.97 P.upf
ATOMIC_POSITIONS angstrom
Se 1.215 2.055 0.756
Se 5.758 6.766 1.354
Se 4.576 3.094 1.946
Se 5.307 5.289 6.953
Li 3.503 0.771 1.380
Se 1.945 4.250 5.763
Se 1.171 2.327 3.158
P 0.000 0.000 0.000
Se 4.431 1.345 7.012
Se 2.046 5.727 3.098
Se 5.351 5.017 4.551
P 3.261 3.672 3.854
Se 2.090 5.999 0.696
Se 4.475 1.617 4.611
Li 3.018 6.573 6.329
Li 6.831 4.444 1.920
Li -0.310 2.901 5.788
Li 3.537 3.672 -0.277
Li -0.276 0.000 4.132
Se 0.763 0.578 6.355
CELL_PARAMETERS angstrom
7.074 0.000 -0.554
0.000 7.344 0.000
-0.552 0.000 8.263

Record 4
! CsNbCd | the Alexandria database | PBE-GGA | relaxed; values from VASP
! Formation enthalpy at 0 K ... 668 meV/atom
! E above lowest polymorph ... 81 kJ/mol of formula units
&SYSTEM
  ibrav = 0, nat = 12, ntyp = 3
/
ATOMIC_SPECIES
Nb 92.91 Nb.upf
Cs 132.91 Cs.upf
Cd 112.41 Cd.upf
ATOMIC_POSITIONS angstrom
Nb -6.654 2.613 5.532
Cs -10.530 0.126 5.802
Nb -14.148 -0.119 4.704
Nb -7.389 -2.440 2.214
Cd 0.000 0.000 0.000
Nb 0.104 0.292 3.042
Cs -3.536 -0.785 5.665
Cd -6.757 2.328 2.502
Cd -7.022 0.087 3.873
Cd -0.265 -2.242 1.371
Cs -3.514 0.048 1.943
Cs -10.508 0.959 2.081
CELL_PARAMETERS angstrom
-13.986 1.838 0.303
-0.530 -4.483 2.741
0.472 2.819 4.701

Record 5
! Pm2ErTmSb5 | the Alexandria database | PBE-GGA | relaxed; values from VASP
! DFT total energy ... -0.3401 Ry/atom
&SYSTEM
  ibrav = 0, nat = 9, ntyp = 4
/
ATOMIC_SPECIES
Sb 121.76 Sb.upf
Pm 145.00 Pm.upf
Tm 168.93 Tm.upf
Er 167.26 Er.upf
ATOMIC_POSITIONS angstrom
Sb 2.619 2.619 0.000
Sb 0.000 2.619 5.799
Sb 2.619 0.000 5.799
Pm 2.619 2.619 8.398
Pm 2.619 2.619 3.200
Sb 0.000 0.000 8.742
Sb 0.000 0.000 2.856
Tm 0.000 0.000 5.799
Er 0.000 0.000 0.000
CELL_PARAMETERS angstrom
5.238 0.000 0.000
0.000 5.238 0.000
0.000 0.000 11.598

Record 6
! Ac5TmPb5 | the Alexandria database | PBE-GGA | relaxed; values from VASP
! Formation enthalpy at 0 K ... -328 meV/atom
&SYSTEM
  ibrav = 0, nat = 11, ntyp = 3
/
ATOMIC_SPECIES
Pb 207.20 Pb.upf
Ac 227.00 Ac.upf
Tm 168.93 Tm.upf
ATOMIC_POSITIONS angstrom
Pb 2.499 6.277 1.638
Ac 4.848 -0.230 3.217
Ac 0.795 1.209 4.439
Pb 2.288 1.834 1.512
Ac 0.483 5.260 4.219
Pb 3.043 3.197 5.924
Ac 4.536 3.821 2.997
Pb -1.804 0.009 2.719
Tm 0.000 0.000 0.000
Ac 0.161 3.947 0.094
Pb 2.832 -1.246 5.798
CELL_PARAMETERS angstrom
-3.608 0.018 5.437
8.617 -2.881 1.811
0.321 7.894 0.188

Here are the calculated M_tot numbers, same order: 0.00, 0.00, 0.00, 0.00, 0.00, 0.00 (μB per formula unit).
Here are the calculated DOS at the Fermi energy numbers, same order: 0.520, 1.160, 0.221, 1.064, 0.666, 0.741 (states/eV per atom).